[1]
{"formula": "InNiSe2", "functional": "PBE-GGA", "state": "optimized geometry", "lattice_angstrom": [[-3.6607, -1.4967, -0.1233], [-1.8808, -0.9078, 3.3608], [-2.9981, 7.2101, 0.3130]], "species": ["Ni", "In", "Se", "Se"], "frac_coords": [[0.3770, 0.3770, 0.1755], [0.3735, 0.3735, 0.4972], [0.7058, 0.7058, 0.6688], [0.0437, 0.0437, 0.1585]], "sg": "No. 8", "raw_formation_energy_ev_per_fu": -1.27}



[2]
{"formula": "Sr2Ni2B", "functional": "PBE-GGA", "state": "optimized geometry", "lattice_angstrom": [[-0.0578, 0.8928, 5.6733], [5.6287, -1.1182, 0.2333], [3.4310, 3.0345, 2.4646]], "species": ["Sr", "Sr", "Ni", "B", "Ni"], "frac_coords": [[0.7500, 0.2500, 0.5000], [0.2500, 0.7500, 0.5000], [0.7025, 0.7025, 0.5950], [0.0000, 0.0000, 0.0000], [0.2975, 0.2975, 0.4050]], "sg": "No. 139", "formation_energy_mev_per_atom": 277.9, "de_polymorph_mev_per_atom": 0}



[3]
{"formula": "CeBi5Pb2", "functional": "PBE-GGA", "state": "optimized geometry", "lattice_angstrom": [[0.3740, 4.5686, -5.1921], [1.3090, -6.6791, -1.2831], [-6.6206, 0.1540, 2.0293]], "species": ["Pb", "Bi", "Ce", "Bi", "Pb", "Bi", "Bi", "Bi"], "frac_coords": [[0.7777, 0.2780, 0.5001], [0.7779, 0.2780, 0.0000], [0.7781, 0.7779, 0.0000], [0.2778, 0.2775, 0.0000], [0.2776, 0.7779, 0.4999], [0.2782, 0.7777, 0.0000], [0.2780, 0.2781, 0.5002], [0.7777, 0.7779, 0.4998]], "sg": "No. 139", "formation_energy_mev_per_atom": -193.0}



[4]
{"formula": "Tl3CrTe3", "functional": "PBE-GGA", "state": "optimized geometry", "lattice_angstrom": [[-6.3695, 3.2449, 2.1126], [0.8725, -6.3130, 3.8663], [5.8742, 5.3589, 4.9491]], "species": ["Tl", "Tl", "Te", "Te", "Tl", "Te", "Tl", "Te", "Te", "Tl", "Cr", "Tl", "Te", "Cr"], "frac_coords": [[0.6089, 0.6089, 0.3748], [0.3911, 0.3911, 0.6252], [0.5426, 0.8730, 0.7126], [0.1673, 0.1673, 0.8733], [0.7229, 0.2771, 0.0000], [0.1270, 0.4574, 0.2874], [0.8511, 0.1489, 0.5000], [0.8730, 0.5426, 0.7126], [0.4574, 0.1270, 0.2874], [0.1489, 0.8511, 0.5000], [0.1369, 0.1369, 0.1445], [0.2771, 0.7229, 0.0000], [0.8327, 0.8327, 0.1267], [0.8631, 0.8631, 0.8555]], "sg": "No. 12", "raw_formation_energy_ev_per_fu": -1.16}



[5]
{"formula": "Li20Mg3Zn6", "functional": "PBE-GGA", "state": "optimized geometry", "lattice_angstrom": [[-7.6203, 4.4059, 2.7987], [-0.6886, 2.9476, 8.7265], [0.3128, 9.0422, 1.8587]], "species": ["Li", "Mg", "Zn", "Zn", "Li", "Li", "Li", "Li", "Li", "Li", "Li", "Zn", "Li", "Li", "Li", "Li", "Zn", "Li", "Li", "Mg", "Zn", "Li", "Li", "Zn", "Li", "Mg", "Li", "Li", "Li"], "frac_coords": [[0.1422, 0.6193, 0.6193], [0.7500, 0.7500, 0.7500], [0.7325, 0.7325, 0.2675], [0.7325, 0.2675, 0.7325], [0.0000, 0.0000, 0.6499], [0.6499, 0.0000, 0.3501], [0.8578, 0.3807, 0.3807], [0.6193, 0.1422, 0.6193], [0.0000, 0.0000, 0.3501], [0.6499, 0.3501, 0.0000], [0.0000, 0.3501, 0.0000], [0.2675, 0.7325, 0.7325], [0.0000, 0.3501, 0.6499], [0.6193, 0.6193, 0.1422], [0.3501, 0.0000, 0.0000], [0.3807, 0.3807, 0.8578], [0.2675, 0.7325, 0.2675], [0.0000, 0.6499, 0.3501], [0.6499, 0.0000, 0.0000], [0.2500, 0.2500, 0.2500], [0.2675, 0.2675, 0.7325], [0.3807, 0.8578, 0.3807], [0.3501, 0.0000, 0.6499], [0.7325, 0.2675, 0.2675], [0.3807, 0.3807, 0.3807], [0.0000, 0.0000, 0.0000], [0.3501, 0.6499, 0.0000], [0.0000, 0.6499, 0.0000], [0.6193, 0.6193, 0.6193]], "sg": "No. 225", "formation_energy_mev_per_atom": -19.6}



[6]
{"formula": "HoTm2Ag3S6", "functional": "PBE-GGA", "state": "optimized geometry", "lattice_angstrom": [[4.0299, 0.0000, 0.0000], [0.0000, 11.8937, -0.2839], [-2.0150, -3.6193, 6.7289]], "species": ["Ag", "Ag", "Tm", "Ag", "S", "Tm", "S", "S", "S", "Ho", "S", "S"], "frac_coords": [[0.5000, 0.5000, 0.0000], [0.8350, 0.1708, 0.6701], [0.1670, 0.3343, 0.3339], [0.1650, 0.8292, 0.3299], [0.9746, 0.1362, 0.9492], [0.8330, 0.6657, 0.6661], [0.3592, 0.5325, 0.7185], [0.3064, 0.7986, 0.6129], [0.0254, 0.8638, 0.0508], [0.5000, 0.0000, 0.0000], [0.6408, 0.4675, 0.2815], [0.6936, 0.2014, 0.3871]], "sg": "No. 12", "raw_formation_energy_ev_per_fu": -15.76}



[7]
{"formula": "Na2Ga2Fe", "functional": "PBE-GGA", "state": "optimized geometry", "lattice_angstrom": [[-0.6620, -1.9109, -6.1377], [5.8354, -2.7668, 0.2320], [-2.1375, -4.3745, 1.5925]], "species": ["Na", "Fe", "Na", "Ga", "Na", "Na", "Ga", "Ga", "Ga", "Fe"], "frac_coords": [[0.8265, 0.3265, 0.5000], [0.0000, 0.0000, 0.0000], [0.3265, 0.1735, 0.5000], [0.1610, 0.3390, 0.0000], [0.6735, 0.8265, 0.5000], [0.1735, 0.6735, 0.5000], [0.3390, 0.8390, 0.0000], [0.6610, 0.1610, 0.0000], [0.8390, 0.6610, 0.0000], [0.5000, 0.5000, 0.0000]], "sg": "No. 127", "formation_energy_mev_per_atom": 194.5}



[8]
{"formula": "TiCd2SiAu", "functional": "PBE-GGA", "state": "optimized geometry", "lattice_angstrom": [[-0.6738, 4.4766, 2.8108], [-4.2364, 0.6803, -2.0990], [-2.3675, -2.7890, 3.8743]], "species": ["Cd", "Cd", "Si", "Au", "Ti"], "frac_coords": [[0.5000, 0.0000, 0.0000], [0.0000, 0.0000, 0.5000], [0.0000, 0.5000, 0.0000], [0.5000, 0.5000, 0.5000], [0.0000, 0.0000, 0.0000]], "sg": "No. 123", "raw_formation_energy_ev_per_fu": 4.43}



[9]
{"formula": "Ba5MgIn4", "functional": "PBE-GGA", "state": "optimized geometry", "lattice_angstrom": [[4.2944, 0.0000, 0.0000], [0.0000, 4.2944, 0.0000], [0.0000, 0.0000, 21.4775]], "species": ["In", "Ba", "In", "Ba", "In", "Mg", "Ba", "Ba", "In", "Ba"], "frac_coords": [[0.0000, 0.0000, 0.4005], [0.5000, 0.5000, 0.6977], [0.0000, 0.0000, 0.5995], [0.5000, 0.5000, 0.1070], [0.0000, 0.0000, 0.2036], [0.0000, 0.0000, 0.0000], [0.5000, 0.5000, 0.3023], [0.5000, 0.5000, 0.8930], [0.0000, 0.0000, 0.7964], [0.5000, 0.5000, 0.5000]], "sg": "No. 123", "formation_energy_mev_per_atom": -327.6}



[10]
{"formula": "Pr6NdY12", "functional": "PBE-GGA", "state": "optimized geometry", "lattice_angstrom": [[-0.1585, 6.0973, -6.4166], [3.9756, -6.5637, -4.4144], [-8.3731, -2.8215, -0.5533]], "species": ["Y", "Y", "Y", "Pr", "Pr", "Y", "Nd", "Y", "Pr", "Pr", "Y", "Y", "Y", "Y", "Pr", "Pr", "Y", "Y", "Y"], "frac_coords": [[0.0803, 0.3535, 0.3535], [0.3535, 0.3535, 0.0803], [0.9197, 0.6465, 0.6465], [0.3437, 0.9013, 0.9013], [0.9013, 0.9013, 0.3437], [0.6465, 0.6465, 0.9197], [0.0000, 0.0000, 0.0000], [0.7570, 0.5000, 0.2430], [0.6563, 0.0987, 0.0987], [0.0987, 0.6563, 0.0987], [0.2430, 0.5000, 0.7570], [0.5000, 0.7570, 0.2430], [0.6465, 0.9197, 0.6465], [0.5000, 0.2430, 0.7570], [0.0987, 0.0987, 0.6563], [0.9013, 0.3437, 0.9013], [0.2430, 0.7570, 0.5000], [0.7570, 0.2430, 0.5000], [0.3535, 0.0803, 0.3535]], "sg": "No. 166", "formation_energy_mev_per_atom": 204.5, "de_polymorph_mev_per_atom": 96}



[11]
{"formula": "Li2TaReGe", "functional": "PBE-GGA", "state": "optimized geometry", "lattice_angstrom": [[4.6311, 0.0000, 0.0000], [0.0000, 4.7435, 0.0000], [0.0000, 0.0000, 4.6311]], "species": ["Li", "Re", "Ge", "Ta", "Li"], "frac_coords": [[0.5000, 0.0000, 0.0000], [0.0000, 0.0000, 0.0000], [0.5000, 0.5000, 0.5000], [0.0000, 0.5000, 0.0000], [0.0000, 0.0000, 0.5000]], "sg": "No. 123", "formation_energy_mev_per_atom": 1196.3}



[12]
{"formula": "Rb2AcPuSe4", "functional": "PBE-GGA", "state": "optimized geometry", "lattice_angstrom": [[4.4754, 0.0000, 0.0000], [0.0000, 7.7717, 0.1349], [0.0000, -2.7254, 7.9503]], "species": ["Se", "Rb", "Ac", "Rb", "Se", "Se", "Se", "Pu"], "frac_coords": [[0.0000, 0.2820, 0.8040], [0.0000, 0.5000, 0.5000], [0.0000, 0.0000, 0.0000], [0.5000, 0.0000, 0.5000], [0.5000, 0.2476, 0.2056], [0.0000, 0.7180, 0.1960], [0.5000, 0.7524, 0.7944], [0.5000, 0.5000, 0.0000]], "sg": "No. 10", "raw_formation_energy_ev_per_fu": -12.80}